Computed, not measured: Li3PmBr6 after structural relaxation at the PBE level of DFT.

extended XYZ file:
```
10
Lattice="-1.612 6.596 -1.749 0.522 2.085 -6.674 -6.470 1.129 -3.837" Properties=species:S:1:pos:R:3 pbc="T T T"
Br -2.345 4.485 -3.672
Br -2.808 7.608 -6.281
Br -4.761 2.156 -5.850
Br -5.174 5.239 -8.688
Br -6.068 5.971 -4.639
Br -1.525 3.968 -7.652
Li -6.544 4.106 -6.596
Li -3.655 1.942 -3.363
Li -0.980 5.714 -5.658
Pm -3.937 7.858 -8.903
```

Values from the calculation:
As for the density of states at the Fermi level: 0.0 states/eV/cell. The value obtained for the formation energy without anion corrections is -1.644 eV per atom. As for the total energy: -3.70 eV/atom. As for the space-group type: No. 146. The energy above the most stable polymorph in this dataset is 0.000 eV/atom.


Computed, not measured: Li2MnIrSe after structural relaxation at the PBE level of DFT.

extended XYZ file:
```
5
Lattice="4.655 0.000 0.000 0.000 4.454 0.000 0.000 0.000 4.655" Properties=species:S:1:pos:R:3 pbc="T T T"
Li 2.327 0.000 0.000
Li 0.000 0.000 2.327
Se 2.327 2.227 2.327
Ir 0.000 2.227 0.000
Mn 0.000 0.000 0.000
```

Values from the calculation:
As for the density of states at the Fermi level: 2.7 states/eV/cell. The value obtained for the formation energy without anion corrections is 0.670 eV per atom. As for the total energy: -4.40 eV/atom. As for the space-group type: No. 123.


Computed, not measured: Rb5Na3Cl12 after structural relaxation at the PBE level of DFT.

extended XYZ file:
```
80
Lattice="-15.247 -2.441 3.711 6.517 -13.645 -4.854 7.772 5.326 12.784" Properties=species:S:1:pos:R:3 pbc="T T T"
Cl 5.882 -11.256 -2.570
Cl -0.572 0.436 7.706
Cl 0.860 -4.291 10.676
Cl 0.473 -2.985 7.985
Cl -4.813 -10.492 6.902
Cl -1.762 -10.086 -1.187
Cl 5.972 -9.603 6.493
Cl -6.209 -4.232 2.366
Cl 8.255 -2.068 8.542
Cl -9.691 -6.204 4.735
Cl 7.145 -11.367 0.786
Cl 5.251 -6.529 9.275
Cl 4.017 1.689 9.611
Cl 3.855 -0.269 4.739
Cl -0.386 -11.197 3.935
Cl 4.964 -1.174 9.659
Cl -1.412 -2.555 4.247
Cl -6.840 0.495 14.211
Cl -2.608 -1.615 12.239
Cl -6.930 -1.157 5.148
Cl -3.365 -4.598 7.366
Cl 2.793 -9.058 2.192
Cl -1.893 -5.758 12.449
Cl 3.066 -10.350 6.189
Cl -1.983 -9.326 8.774
Cl 4.667 -5.166 6.008
Cl 9.196 -7.753 8.468
Cl -4.975 -12.450 2.029
Cl 7.614 -7.490 4.103
Cl 0.935 -5.003 -0.808
Cl -1.817 -6.469 0.965
Cl -5.922 -9.586 1.982
Cl -8.572 -3.271 7.538
Cl 8.733 -4.557 6.906
Cl 1.025 -1.434 2.867
Cl -9.213 -8.693 3.099
Cl 0.454 -8.205 7.394
Cl -8.103 0.606 10.855
Cl 2.407 -6.163 4.275
Cl -5.701 -14.698 -0.670
Cl 0.804 -0.675 12.828
Cl -5.624 -5.594 5.633
Cl -1.431 -7.776 3.656
Cl -3.750 -1.702 9.449
Cl -10.154 -3.007 3.173
Cl 1.650 -9.145 -0.598
Cl 4.743 3.938 12.311
Cl -4.023 -0.411 5.452
Rb 3.886 2.663 6.392
Rb -3.737 1.442 8.248
Rb -3.820 1.123 13.363
Rb -6.854 -2.219 10.024
Rb -3.117 -3.661 1.776
Rb 2.481 -4.091 1.840
Rb -3.439 -6.670 9.801
Rb 5.897 -8.542 1.617
Rb 3.259 -6.822 -2.427
Rb -1.884 -12.134 1.268
Rb 2.862 -11.884 -1.722
Rb 0.000 0.000 0.000
Rb 0.926 1.373 10.373
Rb -4.448 -8.362 4.543
Rb 2.159 -7.100 9.865
Rb -0.479 -5.380 5.820
Rb 3.490 -2.399 7.098
Rb -7.624 -1.221 1.855
Rb -4.365 -8.043 -0.572
Rb 7.145 -4.160 3.965
Na 0.299 -8.112 1.554
Na -0.083 -0.319 5.115
Na -4.986 -2.940 5.900
Na 6.524 0.944 10.437
Na -1.256 -2.648 10.087
Na 7.062 -4.478 9.080
Na -8.020 -6.282 2.561
Na -7.482 -11.704 1.204
Na -0.875 -10.442 6.526
Na 4.028 -7.821 5.741
Na -10.584 -2.510 5.836
Na 9.626 -8.250 5.805
```

Values from the calculation:
As for the density of states at the Fermi level: 50.3 states/eV/cell. The value obtained for the formation energy without anion corrections is -1.272 eV per atom. As for the total energy: -2.82 eV/atom. As for the space-group type: No. 230.


Computed, not measured: Pr2Sm3Ge4 after structural relaxation at the PBE level of DFT.

extended XYZ file:
```
18
Lattice="7.759 0.068 0.000 -2.483 7.576 0.000 0.000 0.000 8.063" Properties=species:S:1:pos:R:3 pbc="T T T"
Ge -0.246 3.879 7.019
Ge 1.642 3.731 2.988
Ge 2.630 6.999 0.271
Ge 5.522 3.766 1.044
Ge 6.526 0.679 4.303
Ge -1.250 6.965 3.760
Ge 2.647 0.645 7.792
Ge 3.634 3.913 5.076
Sm 1.369 1.872 5.441
Sm 2.638 3.822 0.000
Sm 0.028 5.738 1.409
Sm 5.248 1.906 6.654
Sm 3.907 5.773 2.622
Sm -1.241 3.788 4.032
Pr 0.137 1.509 1.453
Pr 4.016 1.543 2.579
Pr 1.260 6.101 5.485
Pr 5.140 6.135 6.610
```

Values from the calculation:
As for the density of states at the Fermi level: 15.5 states/eV/cell. As for the formation energy: -0.83 eV per atom. As for the total energy: -5.52 eV/atom. As for the space-group type: No. 14.


Computed, not measured: Ir2AuCl after structural relaxation at the PBE level of DFT.

extended XYZ file:
```
4
Lattice="8.709 -0.024 -0.014 8.227 2.855 -0.014 8.227 1.375 2.502" Properties=species:S:1:pos:R:3 pbc="T T T"
Ir 0.108 0.018 0.011
Ir 12.474 2.085 1.226
Cl 18.872 3.155 1.856
Au 6.291 1.052 0.619
```

Values from the calculation:
As for the density of states at the Fermi level: 4.6 states/eV/cell. The value obtained for the formation energy without anion corrections is 0.686 eV per atom. As for the total energy: -5.03 eV/atom. As for the space-group type: No. 166. The energy above the most stable polymorph in this dataset is 0.360 eV/atom.


Computed, not measured: Ti2MnHgC after structural relaxation at the PBE level of DFT.

extended XYZ file:
```
5
Lattice="-1.182 -0.617 -4.046 3.787 -1.762 -0.838 -1.422 -3.509 0.951" Properties=species:S:1:pos:R:3 pbc="T T T"
C 0.000 0.000 0.000
Hg 0.591 -2.944 -1.966
Ti 1.894 -0.881 -0.419
Ti -0.591 -0.309 -2.023
Mn -0.711 -1.754 0.475
```

Values from the calculation:
As for the density of states at the Fermi level: 3.7 states/eV/cell. As for the formation energy: -0.29 eV per atom. As for the total energy: -7.19 eV/atom. As for the space-group type: No. 123.


Computed, not measured: K2CaP2 after structural relaxation at the PBE level of DFT.

extended XYZ file:
```
10
Lattice="9.004 0.000 0.000 0.000 9.004 0.000 0.000 0.000 3.307" Properties=species:S:1:pos:R:3 pbc="T T T"
P 1.681 6.183 1.653
P 6.183 7.322 1.653
P 2.820 1.681 1.653
P 7.322 2.820 1.653
Ca 4.502 4.502 0.000
Ca 0.000 0.000 0.000
K 5.522 1.020 0.000
K 3.482 7.984 0.000
K 7.984 5.522 0.000
K 1.020 3.482 0.000
```

Values from the calculation:
As for the density of states at the Fermi level: 6.6 states/eV/cell. As for the formation energy: 0.01 eV per atom. As for the total energy: -3.00 eV/atom. As for the space-group type: No. 127. The energy above the most stable polymorph in this dataset is 0.449 eV/atom.


Computed, not measured: HgSbP2S after structural relaxation at the PBE level of DFT.

extended XYZ file:
```
5
Lattice="5.167 0.000 0.000 0.000 5.167 0.000 0.000 0.000 4.974" Properties=species:S:1:pos:R:3 pbc="T T T"
S 0.000 0.000 2.487
P 2.583 0.000 0.000
P 0.000 2.583 0.000
Hg 2.583 2.583 2.487
Sb 0.000 0.000 0.000
```

Values from the calculation:
As for the density of states at the Fermi level: 3.8 states/eV/cell. The value obtained for the formation energy without anion corrections is 0.922 eV per atom. As for the total energy: -2.95 eV/atom. As for the space-group type: No. 123. The energy above the most stable polymorph in this dataset is 0.000 eV/atom.


Computed, not measured: NaLuGa2 after structural relaxation at the PBE level of DFT.

extended XYZ file:
```
4
Lattice="-0.975 2.310 2.546 3.316 -1.944 3.034 3.347 3.191 -1.613" Properties=species:S:1:pos:R:3 pbc="T T T"
Na 2.844 1.779 1.983
Ga 1.673 1.595 -0.807
Ga 1.658 -0.972 1.517
Lu -0.488 1.155 1.273
```

Values from the calculation:
As for the density of states at the Fermi level: 2.1 states/eV/cell. As for the formation energy: -0.29 eV per atom. As for the total energy: -3.26 eV/atom. As for the space-group type: No. 123.


Computed, not measured: CaPaCuN3 after structural relaxation at the PBE level of DFT.

extended XYZ file:
```
12
Lattice="-2.364 1.524 -1.798 3.045 -3.142 -3.566 -5.843 -7.329 1.469" Properties=species:S:1:pos:R:3 pbc="T T T"
N -1.302 -0.748 -2.021
N -2.253 -6.183 -2.279
N -2.909 -2.764 -1.617
N -3.860 -8.199 -1.875
N -3.981 -6.011 0.138
N -1.182 -2.937 -4.034
Pa -0.575 -2.964 -1.755
Pa -4.587 -5.984 -2.140
Cu -2.530 -7.863 -3.338
Cu -2.632 -1.084 -0.558
Ca 0.000 0.000 0.000
Ca -2.922 -3.665 0.734
```

Values from the calculation:
As for the density of states at the Fermi level: 8.2 states/eV/cell. The value obtained for the formation energy without anion corrections is -0.749 eV per atom. As for the total energy: -7.51 eV/atom. As for the space-group type: No. 63.


Computed, not measured: Mg5Co3 after structural relaxation at the PBE level of DFT.

extended XYZ file:
```
16
Lattice="-6.358 -4.107 -0.953 3.864 -0.418 6.565 -2.813 3.913 1.905" Properties=species:S:1:pos:R:3 pbc="T T T"
Co -0.853 0.833 7.602
Co 1.576 0.732 4.349
Co -3.581 0.266 4.739
Co -1.726 -0.877 2.777
Co -4.454 -1.445 -0.086
Co -6.884 -1.343 3.167
Mg 0.257 0.874 2.108
Mg -2.284 -0.043 0.239
Mg -4.357 -0.921 2.505
Mg -3.023 -0.569 7.277
Mg 0.457 -1.648 4.059
Mg -2.730 1.810 2.824
Mg -0.950 0.309 5.011
Mg -5.565 -1.486 5.408
Mg -2.577 -2.422 4.693
Mg -2.950 -2.877 1.553
```

Values from the calculation:
As for the density of states at the Fermi level: 19.3 states/eV/cell. As for the formation energy: 0.20 eV per atom. As for the total energy: -3.46 eV/atom. As for the space-group type: No. 193. The energy above the most stable polymorph in this dataset is 0.000 eV/atom.